[1]
! Pm4Th3TaN8 | the Alexandria database | PBE | relaxed; values from VASP
! - Size of the total moment: 0.00 Bohr magnetons per cell
! - Total DFT energy (no corrections): -8.91 eV/atom
! - Density: 10.19 Mg/m³
&SYSTEM
  ibrav = 0, nat = 16, ntyp = 4
/
ATOMIC_SPECIES
Pm 145.00 Pm.upf
Th 232.04 Th.upf
Ta 180.95 Ta.upf
N 14.01 N.upf
ATOMIC_POSITIONS angstrom
Pm 0.000 0.000 0.000
Pm -1.782 -1.029 5.814
Pm -1.782 1.029 11.628
Pm 0.000 2.057 5.814
Th -3.563 0.000 8.721
Th -1.782 1.029 2.907
Th 1.782 1.029 2.907
Ta 0.000 0.000 8.721
N 0.000 0.000 4.306
N -1.605 -0.927 9.983
N 0.000 -1.854 7.458
N -1.605 0.927 7.458
N 1.605 -0.927 9.983
N 0.000 1.854 9.983
N 1.605 0.927 7.458
N 0.000 0.000 13.135
CELL_PARAMETERS angstrom
3.563 2.057 5.814
-3.563 2.057 5.814
0.000 -4.114 5.814

[2]
! PmTaTiN3 | the Alexandria database | PBE | relaxed; values from VASP
! - Size of the total moment: 0.00 Bohr magnetons per cell
! - Total DFT energy (no corrections): -9.43 eV/atom
! - Density: 7.97 Mg/m³
&SYSTEM
  ibrav = 0, nat = 12, ntyp = 4
/
ATOMIC_SPECIES
Pm 145.00 Pm.upf
Ta 180.95 Ta.upf
Ti 47.87 Ti.upf
N 14.01 N.upf
ATOMIC_POSITIONS angstrom
Pm 0.807 0.786 1.612
Pm 4.647 2.358 6.638
Ta 1.253 2.358 7.253
Ta 4.201 0.786 0.997
Ti 0.330 0.786 4.857
Ti 5.125 2.358 3.393
N -0.127 0.786 7.153
N 0.451 2.358 3.582
N 2.677 2.358 1.089
N 2.777 0.786 7.161
N 5.003 0.786 4.668
N 5.581 2.358 1.097
CELL_PARAMETERS angstrom
6.676 0.000 0.000
0.000 3.144 0.000
-1.222 0.000 8.250

[3]
! Pm2TmTaN4 | the Alexandria database | PBE | relaxed; values from VASP
! - Size of the total moment: 0.00 Bohr magnetons per cell
! - Total DFT energy (no corrections): -8.84 eV/atom
! - Density: 10.35 Mg/m³
&SYSTEM
  ibrav = 0, nat = 8, ntyp = 4
/
ATOMIC_SPECIES
Pm 145.00 Pm.upf
Tm 168.93 Tm.upf
Ta 180.95 Ta.upf
N 14.01 N.upf
ATOMIC_POSITIONS angstrom
Pm 0.000 0.000 0.000
Pm 2.926 1.686 0.000
Tm -0.961 1.686 2.829
Ta 1.965 0.000 2.829
N 0.149 0.000 4.054
N 1.068 1.686 1.628
N 2.862 1.686 4.030
N 3.781 0.000 1.604
CELL_PARAMETERS angstrom
5.851 0.000 0.000
0.000 3.372 0.000
-1.921 0.000 5.658

[4]
! PmTm2TaN4 | the Alexandria database | PBE | relaxed; values from VASP
! - Size of the total moment: 0.00 Bohr magnetons per cell
! - Total DFT energy (no corrections): -8.69 eV/atom
! - Density: 10.00 Mg/m³
&SYSTEM
  ibrav = 0, nat = 16, ntyp = 4
/
ATOMIC_SPECIES
Pm 145.00 Pm.upf
Tm 168.93 Tm.upf
Ta 180.95 Ta.upf
N 14.01 N.upf
ATOMIC_POSITIONS angstrom
Pm 1.685 4.684 8.991
Pm 1.685 -4.684 2.997
Tm 1.685 1.534 6.390
Tm 1.685 1.534 11.591
Tm 1.685 -1.534 0.397
Tm 1.685 -1.534 5.597
Ta 1.685 4.051 2.997
Ta 1.685 -4.051 8.991
N 0.000 0.000 0.000
N 0.000 0.000 5.994
N 1.685 2.864 1.438
N 1.685 2.864 4.556
N 1.685 0.624 8.991
N 1.685 -0.624 2.997
N 1.685 -2.864 7.432
N 1.685 -2.864 10.550
CELL_PARAMETERS angstrom
1.685 -5.918 0.000
1.685 5.918 0.000
0.000 0.000 11.988

[5]
! Pm3U3TaN8 | the Alexandria database | PBE | relaxed; values from VASP
! - Size of the total moment: 3.14 Bohr magnetons per cell
! - Total DFT energy (no corrections): -9.76 eV/atom
! - Density: 10.36 Mg/m³
&SYSTEM
  ibrav = 0, nat = 15, ntyp = 4
/
ATOMIC_SPECIES
Pm 145.00 Pm.upf
U 238.03 U.upf
Ta 180.95 Ta.upf
N 14.01 N.upf
ATOMIC_POSITIONS angstrom
Pm -1.704 -0.984 5.748
Pm -1.704 0.984 11.496
Pm 0.000 1.967 5.748
U -3.408 0.000 8.622
U -1.704 0.984 2.874
U 1.704 0.984 2.874
Ta 0.000 0.000 8.622
N 0.000 0.000 4.140
N -1.605 -0.927 9.763
N 0.000 -1.854 7.482
N -1.605 0.927 7.482
N 1.605 -0.927 9.763
N 0.000 1.854 9.763
N 1.605 0.927 7.482
N 0.000 0.000 13.105
CELL_PARAMETERS angstrom
3.408 1.967 5.748
-3.408 1.967 5.748
0.000 -3.935 5.748

[6]
! Pm2TaVN5 | the Alexandria database | PBE | relaxed; values from VASP
! - Size of the total moment: 1.13 Bohr magnetons per cell
! - Total DFT energy (no corrections): -9.26 eV/atom
! - Density: 8.57 Mg/m³
&SYSTEM
  ibrav = 0, nat = 18, ntyp = 4
/
ATOMIC_SPECIES
Pm 145.00 Pm.upf
Ta 180.95 Ta.upf
V 50.94 V.upf
N 14.01 N.upf
ATOMIC_POSITIONS angstrom
Pm 1.655 5.217 5.184
Pm 1.655 4.775 1.102
Pm 1.655 -4.775 6.286
Pm 1.655 -5.217 0.000
Ta 1.655 3.785 8.498
Ta 1.655 -3.785 3.315
V 1.655 0.350 2.763
V 1.655 -0.350 7.947
N 1.655 6.051 8.795
N 1.655 2.875 4.722
N 1.655 2.448 1.981
N 1.655 1.799 8.395
N 1.655 0.088 6.219
N 1.655 -0.088 1.035
N 1.655 -1.799 3.212
N 1.655 -2.448 7.165
N 1.655 -2.875 9.906
N 1.655 -6.051 3.611
CELL_PARAMETERS angstrom
1.655 -6.683 0.000
1.655 6.683 0.000
0.000 0.000 10.368

[7]
! Pm2TaWN5 | the Alexandria database | PBE | relaxed; values from VASP
! - Size of the total moment: 0.00 Bohr magnetons per cell
! - Total DFT energy (no corrections): -9.54 eV/atom
! - Density: 10.15 Mg/m³
&SYSTEM
  ibrav = 0, nat = 18, ntyp = 4
/
ATOMIC_SPECIES
Pm 145.00 Pm.upf
Ta 180.95 Ta.upf
W 183.84 W.upf
N 14.01 N.upf
ATOMIC_POSITIONS angstrom
Pm 1.674 5.249 5.310
Pm 1.674 4.685 1.133
Pm 1.674 -4.685 6.443
Pm 1.674 -5.249 0.000
Ta 1.674 3.731 8.769
Ta 1.674 -3.731 3.459
W 1.674 0.360 2.873
W 1.674 -0.360 8.182
N 1.674 6.018 9.138
N 1.674 2.928 4.835
N 1.674 2.397 2.085
N 1.674 1.738 8.614
N 1.674 0.150 6.341
N 1.674 -0.150 1.032
N 1.674 -1.738 3.305
N 1.674 -2.397 7.395
N 1.674 -2.928 10.145
N 1.674 -6.018 3.829
CELL_PARAMETERS angstrom
1.674 -6.670 0.000
1.674 6.670 0.000
0.000 0.000 10.619

[8]
! Pm2TaWN6 | the Alexandria database | PBE | relaxed; values from VASP
! - Size of the total moment: 1.11 Bohr magnetons per cell
! - Total DFT energy (no corrections): -9.41 eV/atom
! - Density: 9.55 Mg/m³
&SYSTEM
  ibrav = 0, nat = 20, ntyp = 4
/
ATOMIC_SPECIES
Pm 145.00 Pm.upf
Ta 180.95 Ta.upf
W 183.84 W.upf
N 14.01 N.upf
ATOMIC_POSITIONS angstrom
Pm -0.044 0.261 1.998
Pm -2.845 2.599 5.993
Pm 2.866 3.121 1.997
Pm 0.065 5.459 5.992
Ta 2.811 0.000 0.000
Ta 0.010 2.860 3.995
W -2.801 0.000 3.995
W 0.000 2.860 0.000
N -4.433 1.227 7.645
N -1.632 1.633 3.650
N -4.001 4.052 7.652
N -1.200 4.528 3.657
N -2.343 0.102 5.964
N 0.458 2.758 1.969
N -0.437 2.963 6.021
N 2.364 5.618 2.026
N 1.221 1.192 4.334
N 4.022 1.668 0.338
N 1.653 4.087 4.341
N 4.454 4.493 0.346
CELL_PARAMETERS angstrom
5.623 0.000 0.000
0.000 5.720 0.000
-5.602 0.000 7.990

[9]
! Pm2Y3TaN6 | the Alexandria database | PBE | relaxed; values from VASP
! - Size of the total moment: 0.00 Bohr magnetons per cell
! - Total DFT energy (no corrections): -9.05 eV/atom
! - Density: 7.87 Mg/m³
&SYSTEM
  ibrav = 0, nat = 12, ntyp = 4
/
ATOMIC_SPECIES
Pm 145.00 Pm.upf
Y 88.91 Y.upf
Ta 180.95 Ta.upf
N 14.01 N.upf
ATOMIC_POSITIONS angstrom
Pm 2.995 3.457 0.000
Pm 2.995 -3.457 0.000
Y -0.998 0.000 2.791
Y 1.997 1.705 2.791
Y 1.997 -1.705 2.791
Ta 2.995 0.000 0.000
N 0.095 1.564 4.254
N 1.184 0.000 1.340
N 0.095 -1.564 4.254
N 3.899 1.564 1.329
N 2.810 0.000 4.243
N 3.899 -1.564 1.329
CELL_PARAMETERS angstrom
2.995 -5.187 0.000
2.995 5.187 0.000
-1.996 0.000 5.583

[10]
! PmYTaN3 | the Alexandria database | PBE | relaxed; values from VASP
! - Size of the total moment: 0.00 Bohr magnetons per cell
! - Total DFT energy (no corrections): -9.11 eV/atom
! - Density: 7.29 Mg/m³
&SYSTEM
  ibrav = 0, nat = 12, ntyp = 4
/
ATOMIC_SPECIES
Pm 145.00 Pm.upf
Y 88.91 Y.upf
Ta 180.95 Ta.upf
N 14.01 N.upf
ATOMIC_POSITIONS angstrom
Pm 1.159 0.837 2.332
Pm 4.582 2.511 7.164
Y 1.482 2.511 8.417
Y 4.259 0.837 1.079
Ta 0.469 0.837 5.501
Ta 5.273 2.511 3.995
N 0.068 0.837 7.447
N 0.935 2.511 4.429
N 2.503 2.511 1.193
N 3.238 0.837 8.302
N 4.806 0.837 5.066
N 5.674 2.511 2.049
CELL_PARAMETERS angstrom
6.543 0.000 0.000
0.000 3.348 0.000
-0.801 0.000 9.495

[11]
! Pm2ZrTaN4 | the Alexandria database | PBE | relaxed; values from VASP
! - Size of the total moment: 0.00 Bohr magnetons per cell
! - Total DFT energy (no corrections): -9.32 eV/atom
! - Density: 9.48 Mg/m³
&SYSTEM
  ibrav = 0, nat = 8, ntyp = 4
/
ATOMIC_SPECIES
Pm 145.00 Pm.upf
Zr 91.22 Zr.upf
Ta 180.95 Ta.upf
N 14.01 N.upf
ATOMIC_POSITIONS angstrom
Pm 0.000 0.000 0.000
Pm 2.882 1.659 0.000
Zr -0.951 1.659 2.829
Ta 1.931 0.000 2.829
N 0.074 0.000 4.026
N 1.022 1.659 1.656
N 2.840 1.659 4.003
N 3.788 0.000 1.633
CELL_PARAMETERS angstrom
5.764 0.000 0.000
0.000 3.319 0.000
-1.902 0.000 5.659

[12]
! Pm3Zr3TaN8 | the Alexandria database | PBE | relaxed; values from VASP
! - Size of the total moment: 0.00 Bohr magnetons per cell
! - Total DFT energy (no corrections): -9.35 eV/atom
! - Density: 7.69 Mg/m³
&SYSTEM
  ibrav = 0, nat = 15, ntyp = 4
/
ATOMIC_SPECIES
Pm 145.00 Pm.upf
Zr 91.22 Zr.upf
Ta 180.95 Ta.upf
N 14.01 N.upf
ATOMIC_POSITIONS angstrom
Pm 0.000 0.000 0.000
Pm 2.861 1.652 0.000
Pm 2.861 -1.652 0.000
Zr 0.957 1.652 2.861
Zr 0.957 -1.652 2.861
Zr 3.819 0.000 2.861
Ta -1.904 0.000 2.861
N -0.105 0.000 4.038
N 2.920 1.746 4.039
N 4.717 1.746 1.684
N 1.911 0.000 1.603
N 5.726 0.000 4.120
N 2.920 -1.746 4.039
N 4.717 -1.746 1.684
N 7.742 0.000 1.685
CELL_PARAMETERS angstrom
5.723 -3.304 0.000
5.723 3.304 0.000
-3.809 0.000 5.722

Number 1: E_form (uncorrected) -22.81 eV per formula unit. Number 2: E_form (uncorrected) -7.12 eV per formula unit. Number 3: E_form (uncorrected) -11.57 eV per formula unit. Number 4: E_form (uncorrected) -10.70 eV per formula unit. Number 5: E_form (uncorrected) -19.90 eV per formula unit. Number 6: E_form (uncorrected) -11.25 eV per formula unit. Number 7: E_form (uncorrected) -9.90 eV per formula unit. Number 8: E_form (uncorrected) -9.84 eV per formula unit. Number 9: E_form (uncorrected) -17.88 eV per formula unit. Number 10: E_form (uncorrected) -6.59 eV per formula unit. Number 11: E_form (uncorrected) -11.35 eV per formula unit. Number 12: E_form (uncorrected) -21.86 eV per formula unit.